Entry 1:
Compound: Nd3CuNi3
Source: Alexandria
Functional: PBE
Structure: relaxed

Cell lengths 5.560, 8.330, 8.330 Å; angles 120.00, 90.00, 90.00 degrees
Sites, in units of the cell vectors:
1 Nd 0.750 0.697 0.635
2 Nd 0.750 0.365 0.061
3 Nd 0.750 0.939 0.303
4 Nd 0.250 0.303 0.365
5 Nd 0.250 0.635 0.939
6 Nd 0.250 0.061 0.697
7 Cu 0.250 0.667 0.333
8 Cu 0.750 0.333 0.667
9 Ni 0.250 0.687 0.628
10 Ni 0.250 0.372 0.059
11 Ni 0.250 0.941 0.313
12 Ni 0.750 0.313 0.372
13 Ni 0.750 0.628 0.941
14 Ni 0.750 0.059 0.687

Computed properties:
offset from the most stable computed form = 0.275 eV/atom
E_form = -0.5 kcal/mol of atoms

=====

Entry 2:
Compound: TbTmZnTc
Source: Alexandria
Functional: PBE
Structure: relaxed

Cell lengths 4.903, 4.903, 4.903 Å; angles 60.00, 60.00, 60.00 degrees
Sites, in units of the cell vectors:
1 Zn 0.000 0.000 0.000
2 Tm 0.250 0.250 0.250
3 Tb 0.750 0.750 0.750
4 Tc 0.500 0.500 0.500

Computed properties:
E_form = -3.7 kcal/mol of atoms

=====

Entry 3:
Compound: AcNd2Ge2
Source: Alexandria
Functional: PBE
Structure: relaxed

Cell lengths 3.971, 6.004, 6.642 Å; angles 101.24, 107.39, 90.00 degrees
Sites, in units of the cell vectors:
1 Ac 0.000 0.000 0.000
2 Nd 0.360 0.437 0.720
3 Nd 0.640 0.563 0.280
4 Ge 0.716 0.109 0.433
5 Ge 0.284 0.891 0.567

Computed properties:
offset from the most stable computed form = 0.098 eV/atom
E_form = -12.8 kcal/mol of atoms

=====

Entry 4:
Compound: Sm6MgAg
Source: Alexandria
Functional: PBE
Structure: relaxed

Cell lengths 5.176, 5.176, 9.809 Å; angles 74.70, 74.70, 90.00 degrees
Sites, in units of the cell vectors:
1 Sm 0.748 0.748 0.504
2 Sm 0.612 0.111 0.777
3 Sm 0.112 0.611 0.777
4 Sm 0.388 0.889 0.223
5 Sm 0.252 0.252 0.496
6 Sm 0.888 0.389 0.223
7 Mg 0.500 0.500 0.000
8 Ag 0.000 0.000 0.000

Computed properties:
offset from the most stable computed form = 0.000 eV/atom
E_form = -1.4 kcal/mol of atoms

=====

Entry 5:
Compound: Tm2HgPt
Source: Alexandria
Functional: PBE
Structure: relaxed

Cell lengths 4.054, 4.054, 7.689 Å; angles 74.72, 74.72, 60.00 degrees
Sites, in units of the cell vectors:
1 Tm 0.069 0.069 0.792
2 Tm 0.265 0.265 0.206
3 Hg 0.500 0.500 0.499
4 Pt 0.666 0.666 0.002

Computed properties:
offset from the most stable computed form = 0.092 eV/atom
E_form = -18.6 kcal/mol of atoms

=====

Entry 6:
Compound: Nd6Tm5Th2
Source: Alexandria
Functional: PBE
Structure: relaxed

Cell lengths 3.634, 11.738, 20.419 Å; angles 90.00, 90.00, 90.00 degrees
Sites, in units of the cell vectors:
1 Nd 0.000 0.079 0.363
2 Nd 0.000 0.921 0.637
3 Nd 0.000 0.579 0.137
4 Nd 0.000 0.421 0.863
5 Nd 0.500 0.324 0.128
6 Nd 0.500 0.676 0.872
7 Nd 0.500 0.824 0.372
8 Nd 0.500 0.176 0.628
9 Nd 0.000 0.566 0.426
10 Nd 0.000 0.434 0.574
11 Nd 0.000 0.066 0.074
12 Nd 0.000 0.934 0.926
13 Tm 0.500 0.305 0.435
14 Tm 0.500 0.695 0.565
15 Tm 0.500 0.805 0.065
16 Tm 0.500 0.195 0.935
17 Tm 0.500 0.591 0.280
18 Tm 0.500 0.409 0.720
19 Tm 0.500 0.091 0.220
20 Tm 0.500 0.909 0.780
21 Tm 0.500 0.500 0.000
22 Tm 0.500 0.000 0.500
23 Th 0.000 0.330 0.279
24 Th 0.000 0.670 0.721
25 Th 0.000 0.830 0.221
26 Th 0.000 0.170 0.779

Computed properties:
E_form = 2.9 kcal/mol of atoms

=====

Entry 7:
Compound: Tb3Ga2Hg
Source: Alexandria
Functional: PBE
Structure: relaxed

Cell lengths 3.612, 3.612, 11.073 Å; angles 90.00, 90.00, 90.00 degrees
Sites, in units of the cell vectors:
1 Tb 0.000 0.000 0.000
2 Tb 0.000 0.000 0.679
3 Tb 0.000 0.000 0.321
4 Ga 0.500 0.500 0.837
5 Ga 0.500 0.500 0.163
6 Hg 0.500 0.500 0.500

Computed properties:
E_form = -12.6 kcal/mol of atoms

=====

Entry 8:
Compound: In2Sn2As
Source: Alexandria
Functional: PBE
Structure: relaxed

Cell lengths 7.545, 7.545, 4.938 Å; angles 90.00, 90.00, 90.00 degrees
Sites, in units of the cell vectors:
1 As 0.000 0.000 0.000
2 As 0.500 0.500 0.000
3 Sn 0.357 0.857 0.000
4 Sn 0.857 0.643 0.000
5 Sn 0.643 0.143 0.000
6 Sn 0.143 0.357 0.000
7 In 0.169 0.669 0.500
8 In 0.669 0.831 0.500
9 In 0.831 0.331 0.500
10 In 0.331 0.169 0.500

Computed properties:
offset from the most stable computed form = 0.000 eV/atom
E_form = 3.0 kcal/mol of atoms

=====

Entry 9:
Compound: RbAcAsO5
Source: Alexandria
Functional: PBE
Structure: relaxed

Cell lengths 6.509, 6.509, 8.600 Å; angles 103.35, 103.35, 106.53 degrees
Sites, in units of the cell vectors:
1 Rb 0.335 0.665 0.250
2 Rb 0.665 0.335 0.750
3 Ac 0.000 0.000 0.500
4 Ac 0.000 0.000 0.000
5 As 0.683 0.317 0.250
6 As 0.317 0.683 0.750
7 O 0.062 0.938 0.250
8 O 0.938 0.062 0.750
9 O 0.867 0.308 0.134
10 O 0.133 0.692 0.866
11 O 0.692 0.133 0.366
12 O 0.308 0.867 0.634
13 O 0.756 0.586 0.385
14 O 0.244 0.414 0.615
15 O 0.414 0.244 0.115
16 O 0.586 0.756 0.885

Computed properties:
ΔE_f (raw) = -1.94 eV per atom

=====

Entry 10:
Compound: LaPRu2Pb
Source: Alexandria
Functional: PBE
Structure: relaxed

Cell lengths 4.787, 6.188, 4.787 Å; angles 90.00, 90.00, 90.00 degrees
Sites, in units of the cell vectors:
1 Pb 0.000 0.500 0.000
2 Ru 0.000 0.000 0.500
3 Ru 0.500 0.000 0.000
4 P 0.500 0.500 0.500
5 La 0.000 0.000 0.000

Computed properties:
E_form = 38.4 kcal/mol of atoms

=====

Entry 11:
Compound: NbAlFe
Source: Alexandria
Functional: PBE
Structure: relaxed

Cell lengths 3.108, 4.075, 7.118 Å; angles 90.00, 90.00, 90.00 degrees
Sites, in units of the cell vectors:
1 Al 0.500 0.500 0.241
2 Al 0.000 0.000 0.759
3 Nb 0.500 0.500 0.629
4 Nb 0.000 0.000 0.371
5 Fe 0.000 0.500 0.975
6 Fe 0.500 0.000 0.025

Computed properties:
E_form = -3.8 kcal/mol of atoms

=====

Entry 12:
Compound: TbGa2Pt4
Source: Alexandria
Functional: PBE
Structure: relaxed

Cell lengths 4.215, 7.217, 16.310 Å; angles 90.00, 90.00, 90.00 degrees
Sites, in units of the cell vectors:
1 Tb 0.750 0.935 0.648
2 Tb 0.250 0.065 0.352
3 Tb 0.250 0.435 0.852
4 Tb 0.750 0.565 0.148
5 Pt 0.250 0.181 0.714
6 Pt 0.750 0.819 0.286
7 Pt 0.750 0.681 0.786
8 Pt 0.250 0.319 0.214
9 Pt 0.250 0.606 0.673
10 Pt 0.750 0.394 0.327
11 Pt 0.750 0.106 0.827
12 Pt 0.250 0.894 0.173
13 Pt 0.250 0.102 0.544
14 Pt 0.750 0.898 0.456
15 Pt 0.750 0.602 0.956
16 Pt 0.250 0.398 0.044
17 Pt 0.250 0.444 0.445
18 Pt 0.750 0.556 0.555
19 Pt 0.750 0.944 0.055
20 Pt 0.250 0.056 0.945
21 Ga 0.250 0.751 0.523
22 Ga 0.750 0.249 0.477
23 Ga 0.750 0.251 0.977
24 Ga 0.250 0.749 0.023
25 Ga 0.250 0.880 0.808
26 Ga 0.750 0.120 0.192
27 Ga 0.750 0.380 0.692
28 Ga 0.250 0.620 0.308

Computed properties:
offset from the most stable computed form = 0.004 eV/atom
E_form = -19.1 kcal/mol of atoms

=====

no.,calculated density (Mg/m³)
1,6.68
2,9.79
3,7.42
4,7.05
5,11.69
6,8.29
7,9.39
8,6.40
9,4.82
10,6.78
11,6.47
12,14.44